# 1
La2Sm6Er | PBE-GGA | relaxed

Cell: 6.291 6.324 8.156 Å, 82.66 75.12 80.44°
Fractional coordinates of all 9 atoms:
La 0.056 0.110 0.280
La 0.944 0.890 0.720
Sm 0.168 0.331 0.833
Sm 0.280 0.554 0.390
Sm 0.389 0.776 0.944
Sm 0.611 0.224 0.056
Sm 0.720 0.446 0.610
Sm 0.832 0.669 0.167
Er 0.500 0.000 0.500

Size of the total moment = 0.00 μB/atom
Volume = 308 Å³/cell
DFT formation energy = 0.021 eV per atom
Polymorph energy (0 for the lowest one) = 0.0 meV per atom



# 2
La6Sm2Er5 | PBE-GGA | relaxed

Cell: 11.966 20.672 3.640 Å, 90.00 90.00 90.00°
Fractional coordinates of all 26 atoms:
La 0.044 0.079 0.000
La 0.072 0.363 0.000
La 0.184 0.625 0.500
La 0.316 0.125 0.500
La 0.428 0.863 0.000
La 0.456 0.579 0.000
La 0.544 0.421 0.000
La 0.572 0.137 0.000
La 0.684 0.875 0.500
La 0.816 0.375 0.500
La 0.928 0.637 0.000
La 0.956 0.921 0.000
Sm 0.166 0.785 0.000
Sm 0.334 0.285 0.000
Sm 0.666 0.715 0.000
Sm 0.834 0.215 0.000
Er 0.000 0.500 0.500
Er 0.094 0.223 0.500
Er 0.211 0.943 0.500
Er 0.289 0.443 0.500
Er 0.406 0.723 0.500
Er 0.500 0.000 0.500
Er 0.594 0.277 0.500
Er 0.711 0.557 0.500
Er 0.789 0.057 0.500
Er 0.906 0.777 0.500

Size of the total moment = 0.00 μB/atom
Volume = 900 Å³/cell
DFT formation energy = 0.113 eV per atom



# 3
LaSm4Er3 | PBE-GGA | relaxed

Cell: 11.518 7.334 6.325 Å, 90.00 90.00 90.00°
Fractional coordinates of all 16 atoms:
La 0.000 0.125 0.000
La 0.500 0.875 0.500
Sm 0.000 0.374 0.507
Sm 0.000 0.628 0.000
Sm 0.246 0.626 0.338
Sm 0.254 0.374 0.838
Sm 0.500 0.372 0.500
Sm 0.500 0.626 0.007
Sm 0.746 0.374 0.838
Sm 0.754 0.626 0.338
Er 0.000 0.875 0.504
Er 0.249 0.123 0.336
Er 0.251 0.877 0.836
Er 0.500 0.125 0.004
Er 0.749 0.877 0.836
Er 0.751 0.123 0.336

Size of the total moment = 0.00 μB/atom
Volume = 534 Å³/cell
DFT formation energy = 0.027 eV per atom



> What is the formula in the first record?

La2Sm6Er